1.
## CsAs4Cl12 (PBE)

Data for crystalline CsAs4Cl12 at its relaxed geometry.

abc: 8.6756 8.6756 8.6756
angles: 109.47 109.47 109.47
Positions (direct):
Cs  0.0000  0.0000  0.0000
As  0.0000  0.0000  0.5000
As  0.0000  0.5000  0.0000
As  0.5000  0.0000  0.0000
As  0.5000  0.5000  0.5000
Cl  0.0558  0.2776  0.7782
Cl  0.2218  0.4994  0.2776
Cl  0.2218  0.9442  0.7224
Cl  0.2776  0.2218  0.4994
Cl  0.2776  0.7782  0.0558
Cl  0.4994  0.2776  0.2218
Cl  0.5006  0.7224  0.7782
Cl  0.7224  0.2218  0.9442
Cl  0.7224  0.7782  0.5006
Cl  0.7782  0.0558  0.2776
Cl  0.7782  0.5006  0.7224
Cl  0.9442  0.7224  0.2218

=====

2.
## CsAs2Cl (PBE)

Data for crystalline CsAs2Cl at its relaxed geometry.

abc: 5.4772 5.4772 5.4772
angles: 60.00 60.00 60.00
Positions (direct):
Cs  0.0000  0.0000  0.0000
As  0.2500  0.2500  0.2500
As  0.7500  0.7500  0.7500
Cl  0.5000  0.5000  0.5000

=====

3.
## Cs3AsCl6 (PBE)

Data for crystalline Cs3AsCl6 at its relaxed geometry.

abc: 8.1747 8.1747 8.1747
angles: 60.00 60.00 60.00
Positions (direct):
Cs  0.0000  0.0000  0.0000
Cs  0.2500  0.2500  0.2500
Cs  0.7500  0.7500  0.7500
As  0.5000  0.5000  0.5000
Cl  0.2822  0.2822  0.7178
Cl  0.2822  0.7178  0.2822
Cl  0.2822  0.7178  0.7178
Cl  0.7178  0.2822  0.2822
Cl  0.7178  0.2822  0.7178
Cl  0.7178  0.7178  0.2822

=====

4.
## Cs2AsCl (PBE)

Data for crystalline Cs2AsCl at its relaxed geometry.

abc: 8.3186 8.3186 8.3186
angles: 111.51 111.51 105.47
Positions (direct):
Cs  0.0935  0.6250  0.9685
Cs  0.3750  0.3435  0.4685
Cs  0.6565  0.1250  0.0315
Cs  0.8750  0.9065  0.5315
As  0.2500  0.7500  0.5000
As  0.5000  0.5000  0.0000
Cl  0.0000  0.0000  0.0000
Cl  0.7500  0.2500  0.5000

Properties
Its relative energy among the computed polymorphs is 0.00 eV/f.u.

=====

Number 1: mass density 2.83 Mg/m³, E_form (uncorrected) -0.675 eV/atom. Number 2: mass density 4.55 Mg/m³, E_form (uncorrected) 0.645 eV/atom. Number 3: mass density 2.95 Mg/m³, E_form (uncorrected) -1.467 eV/atom. Number 4: mass density 2.83 Mg/m³, E_form (uncorrected) -0.697 eV/atom.